Entry 1:
A relaxed Pr4Se2SCl crystal. Source: Alexandria, functional GGA-PBE.

Unit cell a=4.2280 b=7.2703 c=7.2555 alpha=109.70 beta=90.00 gamma=90.00
Fractional positions:
Pr1 0.5000 0.2701 0.2503
Pr2 0.5000 0.7299 0.7497
Pr3 0.0000 0.2728 0.7634
Pr4 0.0000 0.7272 0.2366
Se1 0.5000 0.0000 0.5000
Se2 0.0000 0.5000 0.5000
S1 0.5000 0.5000 0.0000
Cl1 0.0000 0.0000 0.0000

=====

Entry 2:
A relaxed Pr6Se3S2Cl crystal. Source: Alexandria, functional GGA-PBE.

Unit cell a=7.2533 b=7.2533 c=7.2615 alpha=99.48 beta=99.48 gamma=119.69
Fractional positions:
Pr1 0.9193 0.5659 0.7597
Pr2 0.7230 0.7230 0.2323
Pr3 0.0807 0.4341 0.2403
Pr4 0.5659 0.9193 0.7597
Pr5 0.2770 0.2770 0.7677
Pr6 0.4341 0.0807 0.2403
Se1 0.1588 0.8412 0.5000
Se2 0.8412 0.1588 0.5000
Se3 0.5000 0.5000 0.5000
S1 0.3315 0.6685 0.0000
S2 0.6685 0.3315 0.0000
Cl1 0.0000 0.0000 0.0000

=====

Entry 3:
A relaxed Pr6SiS2Cl3 crystal. Source: Alexandria, functional GGA-PBE.

Unit cell a=4.2313 b=8.3528 c=9.4632 alpha=105.09 beta=102.92 gamma=90.00
Fractional positions:
Pr1 0.3388 0.8957 0.6776
Pr2 0.6740 0.5591 0.3481
Pr3 0.6612 0.1043 0.3224
Pr4 0.0095 0.2380 0.0190
Pr5 0.9905 0.7620 0.9810
Pr6 0.3260 0.4409 0.6519
Si1 0.5000 0.0000 0.0000
S1 0.8314 0.6668 0.6629
S2 0.1686 0.3332 0.3371
Cl1 0.5000 0.5000 0.0000
Cl2 0.8374 0.1717 0.6747
Cl3 0.1626 0.8283 0.3253

=====

Entry 4:
A relaxed Pr4SiSCl2 crystal. Source: Alexandria, functional GGA-PBE.

Unit cell a=4.2222 b=7.4476 c=7.1877 alpha=70.54 beta=90.00 gamma=90.00
Fractional positions:
Pr1 0.0000 0.7199 0.7558
Pr2 0.0000 0.2801 0.2442
Pr3 0.5000 0.7149 0.2644
Pr4 0.5000 0.2851 0.7356
Si1 0.5000 0.5000 0.0000
S1 0.0000 0.5000 0.5000
Cl1 0.0000 0.0000 0.0000
Cl2 0.5000 0.0000 0.5000

=====

Entry 5:
A relaxed Pr6Si2SCl3 crystal. Source: Alexandria, functional GGA-PBE.

Unit cell a=4.2231 b=8.5212 c=9.5626 alpha=104.59 beta=102.76 gamma=90.00
Fractional positions:
Pr1 0.3420 0.9041 0.6841
Pr2 0.6731 0.5705 0.3463
Pr3 0.6580 0.0959 0.3159
Pr4 0.0058 0.2283 0.0117
Pr5 0.9942 0.7717 0.9883
Pr6 0.3269 0.4295 0.6537
Si1 0.8351 0.6689 0.6702
Si2 0.1649 0.3311 0.3298
S1 0.5000 0.0000 0.0000
Cl1 0.5000 0.5000 0.0000
Cl2 0.8286 0.1636 0.6572
Cl3 0.1714 0.8364 0.3428

=====

Entry 6:
A relaxed Pr6Si3S2Cl crystal. Source: Alexandria, functional GGA-PBE.

Unit cell a=4.2496 b=8.4823 c=9.4758 alpha=102.55 beta=102.96 gamma=90.00
Fractional positions:
Pr1 0.3282 0.9151 0.6564
Pr2 0.6666 0.5841 0.3332
Pr3 0.6718 0.0849 0.3436
Pr4 0.0003 0.2634 0.0007
Pr5 0.9997 0.7366 0.9993
Pr6 0.3334 0.4159 0.6668
Si1 0.5000 0.5000 0.0000
Si2 0.8354 0.1664 0.6709
Si3 0.1646 0.8336 0.3291
S1 0.8333 0.6676 0.6665
S2 0.1667 0.3324 0.3335
Cl1 0.5000 0.0000 0.0000

=====

Entry 7:
A relaxed Pr8Si3S4Cl crystal. Source: Alexandria, functional GGA-PBE.

Unit cell a=8.4231 b=8.3937 c=8.4239 alpha=120.12 beta=120.00 gamma=90.00
Fractional positions:
Pr1 0.2562 0.7532 0.9968
Pr2 0.2565 0.7534 0.5130
Pr3 0.2498 0.2492 0.4996
Pr4 0.7405 0.7532 0.9968
Pr5 0.2595 0.2468 0.0032
Pr6 0.7502 0.7508 0.5004
Pr7 0.7435 0.2466 0.4870
Pr8 0.7438 0.2468 0.0032
Si1 0.5000 0.5000 0.0000
Si2 0.5000 0.5000 0.5000
Si3 0.0000 0.5000 0.5000
S1 0.5000 0.0000 0.0000
S2 0.5000 0.0000 0.5000
S3 0.0000 0.0000 0.0000
S4 0.0000 0.0000 0.5000
Cl1 0.0000 0.5000 0.0000

=====

Entry 8:
A relaxed Pr4SiS2Cl crystal. Source: Alexandria, functional GGA-PBE.

Unit cell a=5.8726 b=5.8726 c=7.2470 alpha=113.90 beta=113.90 gamma=90.01
Fractional positions:
Pr1 0.9372 0.4373 0.0000
Pr2 0.4373 0.9372 0.0000
Pr3 0.1784 0.1784 0.4827
Pr4 0.6957 0.6957 0.5173
Si1 0.9373 0.9373 0.0000
S1 0.1871 0.6871 0.5000
S2 0.6871 0.1871 0.5000
Cl1 0.4372 0.4372 0.0000

=====

Number 1: formation energy (no corrections) -14.1 eV/f.u., DOS at the Fermi energy 3.5 states/eV/cell. Number 2: formation energy (no corrections) -22.0 eV/f.u., DOS at the Fermi energy 4.9 states/eV/cell. Number 3: formation energy (no corrections) -18.7 eV/f.u., DOS at the Fermi energy 4.5 states/eV/cell. Number 4: formation energy (no corrections) -11.8 eV/f.u., DOS at the Fermi energy 3.5 states/eV/cell. Number 5: formation energy (no corrections) -16.6 eV/f.u., DOS at the Fermi energy 6.0 states/eV/cell. Number 6: formation energy (no corrections) -15.6 eV/f.u., DOS at the Fermi energy 2.8 states/eV/cell. Number 7: formation energy (no corrections) -23.9 eV/f.u., DOS at the Fermi energy 4.7 states/eV/cell. Number 8: formation energy (no corrections) -12.8 eV/f.u., DOS at the Fermi energy 3.0 states/eV/cell.